First-principles (GGA-PBE) data for a relaxed structure of RhW5, as listed in the Alexandria database.

- ΔH_f (0 K) (eV/atom) = 0.2381
- energy (eV/atom) = -11.781
- energy above the lowest structure with this stoichiometry (eV/f.u.) = 0.70
- magnetization (μB per atom) = 0.000

Unit cell a=10.6980 b=2.6876 c=6.9196 alpha=90.00 beta=105.08 gamma=90.00
Closest atoms and distances in Å follow each position.
Space group Cm (No. 8)
Symmetry-distinct sites (fractional):
1 Rh 0.0000 0.0000 0.0000  2 Rh 2.69, 10 W 2.78-2.90
2 W 0.0567 0.0000 0.6213  11 W 2.69-2.96, 1 Rh 2.84
3 W 0.1674 0.5000 0.3219  10 W 2.69-2.96, 2 Rh 2.81
4 W 0.2229 0.5000 0.9557  9 W 2.69-2.86, 3 Rh 2.82-2.90
5 W 0.3295 0.0000 0.6697  10 W 2.69-2.99, 2 Rh 2.86
6 W 0.3993 0.0000 0.2782  10 W 2.69-2.99, 2 Rh 2.78